[1]
Compound: V3O5F
Source: the Alexandria database
Functional: GGA+U
Structure: relaxed

Cell: 4.664 5.555 7.541 Å, 84.89 88.20 88.77°
Last column: magnetic moment on the atom in μB.
Atoms (fractional coordinates):
F (0.198, 0.636, 0.565)  0.00
O (0.690, 0.201, 0.111)  -0.07
O (0.806, 0.377, 0.437)  -0.07
V (0.494, 0.504, 0.998)  1.14
V (0.516, 0.837, 0.670)  1.87
O (0.195, 0.288, 0.910)  -0.08
F (0.197, 0.968, 0.228)  0.01
V (0.524, 0.183, 0.339)  1.12
O (0.302, 0.479, 0.234)  -0.06
O (0.717, 0.870, 0.426)  -0.07
V (0.971, 0.658, 0.321)  1.21
V (0.997, 0.004, 0.984)  1.21
O (0.802, 0.708, 0.098)  -0.07
O (0.310, 0.139, 0.552)  -0.08
O (0.690, 0.516, 0.780)  -0.09
O (0.799, 0.019, 0.771)  -0.08
V (0.000, 0.320, 0.674)  1.85
O (0.291, 0.794, 0.902)  -0.07

Calculated values
Magnetic moment   4.0 μB/f.u.
Space group   P1
Final energy   -7.57 eV/atom



[2]
Compound: V2O3F
Source: the Alexandria database
Functional: GGA+U
Structure: relaxed

Cell: 5.587 5.587 5.587 Å, 114.63 109.94 104.01°
Last column: magnetic moment on the atom in μB.
Atoms (fractional coordinates):
O (0.692, 0.000, 0.192)  -0.07
O (0.692, 0.500, 0.692)  -0.07
F (0.798, 0.048, 0.750)  0.00
O (0.308, 0.500, 0.308)  -0.07
O (0.308, 0.000, 0.808)  -0.07
O (0.195, 0.445, 0.750)  -0.08
V (0.544, 0.294, 0.250)  1.20
V (0.456, 0.706, 0.750)  1.20
V (0.000, 0.000, 0.500)  1.89
V (0.000, 0.500, 0.000)  1.89
F (0.202, 0.952, 0.250)  0.00
O (0.805, 0.555, 0.250)  -0.08

Calculated values
Magnetic moment   3.0 μB/f.u.
Space group   Imma
Final energy   -7.50 eV/atom